Ac3Tl2Cd: relaxed, PBE-GGA. Values from VASP.

Output
* E_tot: -39.9 eV/cell
* total magnetic moment: 0.00 μB/cell
* volume: 34.93 Å³/atom

Structure (Quantum ESPRESSO input):
```
&SYSTEM
  ibrav = 0, nat = 12, ntyp = 3
/
ATOMIC_SPECIES
Ac 227.00 Ac.upf
Tl 204.38 Tl.upf
Cd 112.41 Cd.upf
CELL_PARAMETERS angstrom
5.822 0.000 0.000
-2.911 5.042 0.000
0.000 0.000 14.279
ATOMIC_POSITIONS angstrom
Ac 0.000 3.362 5.963
Ac 2.911 1.681 1.198
Ac 0.000 0.000 10.696
Ac 0.000 0.000 3.583
Ac 0.000 3.362 13.081
Ac 2.911 1.681 8.316
Tl 0.000 0.000 7.139
Tl 0.000 3.362 2.445
Tl 2.911 1.681 11.834
Tl 0.000 0.000 0.000
Cd 0.000 3.362 9.530
Cd 2.911 1.681 4.749
```

***

SrPaNiP2: relaxed, PBE-GGA. Values from VASP.

Output
* E_tot: -31.6 eV/cell
* total magnetic moment: 1.01 μB/cell
* volume: 22.22 Å³/atom

Structure (Quantum ESPRESSO input):
```
&SYSTEM
  ibrav = 0, nat = 5, ntyp = 4
/
ATOMIC_SPECIES
Sr 87.62 Sr.upf
Pa 231.04 Pa.upf
Ni 58.69 Ni.upf
P 30.97 P.upf
CELL_PARAMETERS angstrom
-0.927 3.325 1.822
-2.577 -2.927 -0.149
3.088 -3.085 7.202
ATOMIC_POSITIONS angstrom
Sr 3.007 -3.004 7.012
Pa -0.211 -0.023 4.116
Ni 0.055 -2.923 5.362
P -1.357 -1.512 2.070
P 0.765 -0.999 6.393
```

***

SrCuNiAs2: relaxed, PBE-GGA. Values from VASP.

Output
* E_tot: -23.8 eV/cell
* total magnetic moment: 0.00 μB/cell
* volume: 18.57 Å³/atom

Structure (Quantum ESPRESSO input):
```
&SYSTEM
  ibrav = 0, nat = 5, ntyp = 4
/
ATOMIC_SPECIES
Sr 87.62 Sr.upf
Cu 63.55 Cu.upf
Ni 58.69 Ni.upf
As 74.92 As.upf
CELL_PARAMETERS angstrom
4.199 0.000 0.000
0.000 4.199 0.000
-2.099 -2.099 5.268
ATOMIC_POSITIONS angstrom
Sr 0.000 0.000 0.000
Cu 0.000 2.099 2.634
Ni 2.099 0.000 2.634
As 2.099 2.099 1.395
As 0.000 0.000 3.873
```

***

Cs4CeSm3Se8: relaxed, PBE-GGA. Values from VASP.

Output
* E_tot: -78.8 eV/cell
* total magnetic moment: 0.99 μB/cell
* formation energy without anion corrections: -1.7132 eV per atom
* volume: 34.79 Å³/atom

Structure (Quantum ESPRESSO input):
```
&SYSTEM
  ibrav = 0, nat = 16, ntyp = 4
/
ATOMIC_SPECIES
Cs 132.91 Cs.upf
Ce 140.12 Ce.upf
Sm 150.36 Sm.upf
Se 78.96 Se.upf
CELL_PARAMETERS angstrom
8.756 0.000 0.000
0.000 9.767 0.707
-4.378 -4.376 6.193
ATOMIC_POSITIONS angstrom
Cs 4.378 0.000 0.000
Cs 2.189 -2.188 3.096
Cs 0.000 0.000 0.000
Cs -2.189 -2.188 3.096
Ce 0.000 4.884 0.354
Sm 4.378 4.884 0.354
Sm 2.189 2.695 3.450
Sm -2.189 2.695 3.450
Se -2.170 2.535 6.418
Se 0.000 4.704 3.349
Se 0.000 0.676 3.571
Se 2.170 2.535 6.418
Se 2.208 2.856 0.482
Se 4.378 4.714 3.329
Se 4.378 0.687 3.551
Se 6.548 2.856 0.482
```

***

Ti2CrIn: relaxed, PBE-GGA. Values from VASP.

Output
* E_tot: -28.7 eV/cell
* total magnetic moment: 0.00 μB/cell
* volume: 16.54 Å³/atom

Structure (Quantum ESPRESSO input):
```
&SYSTEM
  ibrav = 0, nat = 4, ntyp = 3
/
ATOMIC_SPECIES
Cr 52.00 Cr.upf
Ti 47.87 Ti.upf
In 114.82 In.upf
CELL_PARAMETERS angstrom
-1.110 -2.616 1.378
2.780 -0.421 1.440
-2.118 3.610 5.145
ATOMIC_POSITIONS angstrom
Cr 0.835 -1.519 1.409
Ti -1.680 2.864 4.082
Ti -0.438 0.746 1.064
In -0.224 0.286 3.982
```

***

Ba6AuO2: relaxed, PBE-GGA. Values from VASP.

Output
* E_tot: -71.9 eV/cell
* total magnetic moment: 0.00 μB/cell
* formation energy without anion corrections: -1.2444 eV per atom
* relative energy among the computed polymorphs: 0.000 eV per atom
* volume: 45.65 Å³/atom

Structure (Quantum ESPRESSO input):
```
&SYSTEM
  ibrav = 0, nat = 18, ntyp = 3
/
ATOMIC_SPECIES
Ba 137.33 Ba.upf
Au 196.97 Au.upf
O 16.00 O.upf
CELL_PARAMETERS angstrom
0.416 -4.523 6.422
-7.846 -6.472 -2.004
6.007 -7.598 -3.695
ATOMIC_POSITIONS angstrom
Ba -1.895 -10.894 -0.958
Ba -1.484 -5.295 -1.317
Ba 0.473 -7.699 1.681
Ba 0.062 -13.297 2.039
Ba -3.939 -12.474 2.359
Ba -3.567 -7.868 2.342
Ba 2.517 -6.118 -1.637
Ba 2.145 -10.724 -1.620
Ba -0.396 -12.983 -4.184
Ba 1.056 -3.534 1.416
Ba -1.026 -5.609 4.907
Ba -2.478 -15.058 -0.694
Au 4.747 -8.617 -1.923
Au -6.169 -9.975 2.646
O -0.100 -10.828 -2.807
O 0.667 -5.681 0.050
O -1.322 -7.764 3.530
O -2.089 -12.911 0.672
```

***

Q: Number 6 is which compound?
A: Ba6AuO2